Material: TcTeSe2
Method: DFT, PBE
State: relaxed

uncorrected formation energy = -0.07 eV per atom
electronic total energy = -5.19 eV/atom

```
data_TcTeSe2
_chemical_formula_sum 'Tc4 Te4 Se8'
_cell_length_a 5.0910
_cell_length_b 14.5291
_cell_length_c 5.9454
_cell_angle_alpha 90.00
_cell_angle_beta 98.96
_cell_angle_gamma 90.00
_space_group_name_H-M_alt 'C 1 2/c 1'
_space_group_IT_number 15
loop_
_space_group_symop_operation_xyz
'x,y,z'
'-x,-y,-z'
'-x,y,-z+1/2'
'x,-y,z+1/2'
'x+1/2,y+1/2,z'
'-x+1/2,-y+1/2,-z'
'-x+1/2,y+1/2,-z+1/2'
'x+1/2,-y+1/2,z+1/2'
loop_
_atom_site_label
_atom_site_type_symbol
_atom_site_fract_x
_atom_site_fract_y
_atom_site_fract_z
_atom_site_occupancy
Tc1 Tc 0.0000 0.0253 0.2500 1
Te1 Te 0.0000 0.3940 0.7500 1
Se1 Se 0.1797 0.1168 0.5877 1
```